Entry from Alexandria: a relaxed Li2Ga4Pd crystal (PBE-GGA).

Cell: 4.744 4.744 7.524 Å, 71.62 71.62 90.00°
Fractional positions:
1 Ga 0.193 0.193 0.614
2 Ga 0.807 0.807 0.386
3 Ga 0.000 0.500 0.000
4 Ga 0.500 0.000 0.000
5 Pd 0.000 0.000 0.000
6 Li 0.382 0.382 0.235
7 Li 0.618 0.618 0.765

Values from the calculation:
- Relative energy among the computed polymorphs: 0.218 eV/atom
- Crystal system: tetragonal
- DOS(E_F): 0.4370 states/eV/atom
- Formation energy from the elements: -0.044 eV per atom
- Space-group type: I4/mmm, No. 139
- Spin magnetization: 0.000 μB per atom